1.
# Ba2YSb

A relaxed Ba2YSb crystal (GGA-PBE, the Alexandria database).

Cell and atoms, written as POSCAR:
```
Ba2YSb
1.0
-2.0859 3.3637 -1.3541
-3.5586 -2.1988 0.0193
-1.6389 2.7344 9.3172
Ba Sb Y
2 1 1
Direct
0.0000 0.0000 0.9459
0.5000 0.5000 0.3201
0.0000 0.0000 0.5597
0.5000 0.5000 0.6743
```

Theoretical density: 4.677 Mg/m³
E: -4.07 eV per atom
DOS(E_F): 0.79 states/eV per atom

2.
# Tb2Pr3Sm8

A relaxed Tb2Pr3Sm8 crystal (GGA-PBE, the Alexandria database).

Cell and atoms, written as POSCAR:
```
Tb2Pr3Sm8
1.0
13.3119 -0.4072 0.6598
-7.5965 3.1043 -0.7718
0.9385 -2.8000 23.7720
Tb Pr Sm
4 6 16
Direct
0.3143 0.8907 0.0357
0.2571 0.2535 0.5360
0.7429 0.7465 0.4640
0.6857 0.1093 0.9643
0.1525 0.1181 0.2494
0.5000 0.0000 0.5000
0.0887 0.6521 0.7487
0.9113 0.3479 0.2513
0.0000 0.0000 0.0000
0.8475 0.8819 0.7506
0.6526 0.8189 0.0794
0.2300 0.2405 0.3933
0.4378 0.5707 0.8237
0.7019 0.3796 0.8375
0.7066 0.7153 0.3225
0.4692 0.9623 0.3395
0.9900 0.4933 0.4211
0.0569 0.3300 0.8942
0.9431 0.6700 0.1058
0.0100 0.5067 0.5789
0.5622 0.4293 0.1763
0.2934 0.2847 0.6775
0.2981 0.6204 0.1625
0.5308 0.0377 0.6605
0.7700 0.7595 0.6067
0.3474 0.1811 0.9206
```

Theoretical density: 7.232 Mg/m³
E: -4.65 eV per atom
ΔE to the lowest computed polymorph: 0 meV per atom
DOS(E_F): 1.30 states/eV per atom

3.
# TcAg2As

A relaxed TcAg2As crystal (GGA-PBE, the Alexandria database).

Cell and atoms, written as POSCAR:
```
TcAg2As
1.0
3.6510 0.0000 0.0000
0.0000 3.6510 0.0000
0.0000 0.0000 5.3052
As Tc Ag
1 1 2
Direct
0.5000 0.5000 0.2500
0.5000 0.5000 0.7500
0.0000 0.0000 0.9982
0.0000 0.0000 0.5018
```

Theoretical density: 9.126 Mg/m³
E: -4.60 eV per atom
DOS(E_F): 0.99 states/eV per atom

4.
# SbPbSCl2

A relaxed SbPbSCl2 crystal (GGA-PBE, the Alexandria database).

Cell and atoms, written as POSCAR:
```
SbPbSCl2
1.0
5.3173 0.0000 0.0000
0.0000 5.3173 0.0000
0.0000 0.0000 5.3172
Pb Sb S Cl
1 1 1 2
Direct
0.5000 0.5000 0.5000
0.0000 0.0000 0.0000
0.0000 0.0000 0.5000
0.0000 0.5000 0.0000
0.5000 0.0000 0.0000
```

Theoretical density: 4.771 Mg/m³
E: -3.35 eV per atom
ΔE to the lowest computed polymorph: 0 meV per atom
DOS(E_F): 0.61 states/eV per atom

5.
# In2Hg

A relaxed In2Hg crystal (GGA-PBE, the Alexandria database).

Cell and atoms, written as POSCAR:
```
In2Hg
1.0
5.5484 0.0000 0.0000
-2.7742 4.8051 0.0000
0.0000 0.0000 6.0877
Hg In
2 4
Direct
0.3333 0.6667 0.2500
0.6667 0.3333 0.7500
0.0000 0.0000 0.0000
0.0000 0.0000 0.5000
0.3333 0.6667 0.7500
0.6667 0.3333 0.2500
```

Theoretical density: 8.804 Mg/m³
E: -1.91 eV per atom
ΔE to the lowest computed polymorph: 15 meV per atom
DOS(E_F): 0.36 states/eV per atom

6.
# K2ThMoN4

A relaxed K2ThMoN4 crystal (GGA-PBE, the Alexandria database).

Cell and atoms, written as POSCAR:
```
K2ThMoN4
1.0
-3.3769 -4.6268 1.3867
3.3120 -4.1240 -5.6944
4.9720 -2.2696 4.5355
K Th Mo N
4 2 2 8
Direct
0.4706 0.3579 0.2574
0.4706 0.3579 0.7426
0.9706 0.6421 0.7574
0.9706 0.6421 0.2426
0.9908 0.1135 0.5000
0.4908 0.8865 0.0000
0.5042 0.8367 0.5000
0.0042 0.1633 0.0000
0.3176 0.1413 0.0000
0.8176 0.8587 0.5000
0.3830 0.0611 0.5000
0.8830 0.9389 0.0000
0.4316 0.7219 0.7291
0.9316 0.2781 0.2291
0.9316 0.2781 0.7709
0.4316 0.7219 0.2709
```

Theoretical density: 4.719 Mg/m³
E: -7.41 eV per atom
DOS(E_F): 0.00 states/eV per atom